Record 1
VASP calculation (PBE-GGA) on crystalline TbGdBi2Te2 at its relaxed geometry.

Results
ρ: 9.0 g/cm3
Size of the total moment: 0.000 μB per atom
Calculated total energy: -0.1825 hartree per atom
Space-group type: P4mm, No. 99

abc: 4.407 4.407 9.374
angles: 90.00 90.00 90.00
Fractional positions:
Te: 0.000 0.000 0.374
Tb: 0.500 0.500 0.284
Te: 0.500 0.500 0.625
Bi: 0.500 0.000 0.000
Bi: 0.000 0.500 0.000
Gd: 0.000 0.000 0.716

***

Record 2
VASP calculation (PBE-GGA) on crystalline CdBi2 at its relaxed geometry.

Results
ρ: 10.0 g/cm3
Calculated total energy: -0.1050 hartree per atom
Space-group type: I4/mcm, No. 140
E above lowest polymorph: 65.5 meV/atom

abc: 6.183 6.183 6.183
angles: 104.17 120.68 104.17
Fractional positions:
Bi: 0.645 0.500 0.855
Cd: 0.750 0.000 0.750
Cd: 0.250 0.000 0.250
Bi: 0.355 0.500 0.145
Bi: 0.145 0.791 0.645
Bi: 0.855 0.209 0.355

***

calculated total energy of number 1 (TbGdBi2Te2)? -0.1825 hartree per atom